Zn2GaIr | PBE-GGA | relaxed Values from VASP.

Results
The calculated total energy comes out at -3.71 eV/atom. The volume comes out at 14.42 A^3/atom.

Geometry as Quantum ESPRESSO input:
```
&SYSTEM
  ibrav = 0, nat = 4, ntyp = 3
/
ATOMIC_SPECIES
Zn 65.41 Zn.upf
Ir 192.22 Ir.upf
Ga 69.72 Ga.upf
CELL_PARAMETERS angstrom
1.0838 -3.7907 -1.8078
0.2304 -3.5789 2.4394
-2.9784 -3.1218 -0.4428
ATOMIC_POSITIONS crystal
Zn 0.7500 0.7500 0.7500
Zn 0.0000 0.0000 0.0000
Ir 0.2500 0.2500 0.2500
Ga 0.5000 0.5000 0.5000
```

ZnGa2Ir | PBE-GGA | relaxed Values from VASP.

Results
The calculated total energy comes out at -4.03 eV/atom. The volume comes out at 15.27 A^3/atom.

Geometry as Quantum ESPRESSO input:
```
&SYSTEM
  ibrav = 0, nat = 4, ntyp = 3
/
ATOMIC_SPECIES
Ga 69.72 Ga.upf
Ir 192.22 Ir.upf
Zn 65.41 Zn.upf
CELL_PARAMETERS angstrom
0.0000 3.1260 3.1260
3.1260 0.0000 3.1260
3.1260 3.1260 0.0000
ATOMIC_POSITIONS crystal
Ga 0.0000 0.0000 0.0000
Ga 0.7500 0.7500 0.7500
Ir 0.2500 0.2500 0.2500
Zn 0.5000 0.5000 0.5000
```

ZrZn2GaIr4 | PBE-GGA | relaxed Values from VASP.

Results
The calculated total energy comes out at -6.70 eV/atom. The volume comes out at 14.98 A^3/atom.

Geometry as Quantum ESPRESSO input:
```
&SYSTEM
  ibrav = 0, nat = 8, ntyp = 4
/
ATOMIC_SPECIES
Zn 65.41 Zn.upf
Ir 192.22 Ir.upf
Zr 91.22 Zr.upf
Ga 69.72 Ga.upf
CELL_PARAMETERS angstrom
4.3557 0.0000 0.0000
0.0000 4.3557 0.0000
0.0000 0.0000 6.3185
ATOMIC_POSITIONS crystal
Zn 0.0000 0.0000 0.0000
Zn 0.5000 0.5000 0.5000
Ir 0.5000 0.0000 0.7346
Ir 0.0000 0.5000 0.2654
Ir 0.0000 0.5000 0.7346
Ir 0.5000 0.0000 0.2654
Zr 0.5000 0.5000 0.0000
Ga 0.0000 0.0000 0.5000
```

What is the calculated total energy in the first record?
-3.71 eV/atom

What is the volume in the third record?
14.98 A^3/atom

Among the records above, which one has the lowest calculated total energy?
ZrZn2GaIr4